La3Sm6ErTm2: relaxed, PBE-GGA.

Structure (POSCAR):
```
La3Sm6ErTm2
1.0
-0.234 -5.406 -3.199
-1.654 0.143 6.063
-10.546 4.081 -4.061
La Sm Er Tm
3 6 1 2
Direct
0.167 0.833 0.500
0.833 0.167 0.500
0.500 0.500 0.500
0.919 0.586 0.757
0.747 0.747 0.242
0.081 0.414 0.243
0.586 0.919 0.757
0.253 0.253 0.758
0.414 0.081 0.243
0.000 0.000 0.000
0.333 0.667 0.000
0.667 0.333 0.000
```

## Properties
Fermi-level density of states, states/eV per cell: 18.36
Energy relative to the elements, eV/atom: 0.025